Entry from Alexandria: a relaxed structure of ErNi2Ge3 (GGA-PBE).

abc: 3.9982 7.4913 7.4802
angles: 112.17 105.50 90.00
Closest atoms and distances in Å follow each position.
Sites, in units of the cell vectors:
Ni 0.1711 0.6347 0.3421  7 Ge 2.46-2.63
Ni 0.8289 0.3653 0.6579  7 Ge 2.46-2.63
Ni 0.4877 0.8300 0.9754  4 Ge 2.35-2.41, 1 Ni 2.43
Ni 0.5123 0.1700 0.0246  4 Ge 2.35-2.41, 1 Ni 2.43
Ge 0.3251 0.5634 0.6502  4 Ni 2.41-2.50
Ge 0.6439 0.7992 0.2877  3 Ni 2.35-2.46
Ge 0.3561 0.2008 0.7123  3 Ni 2.35-2.46
Ge 0.6749 0.4366 0.3498  4 Ni 2.41-2.50
Ge 0.9948 0.6630 0.9897  4 Ni 2.38-2.63, 1 Ge 2.50
Ge 0.0052 0.3370 0.0103  4 Ni 2.38-2.63, 1 Ge 2.50
Er 0.1419 0.0964 0.2838  7 Ge 2.87-3.15, 4 Ni 2.93-3.07
Er 0.8581 0.9036 0.7162  7 Ge 2.87-3.15, 4 Ni 2.93-3.07

Its formation energy is -0.438 eV/atom. For the excess energy over the best structure of this formula in the dataset, the calculation gives 0 meV/atom. As for the space-group type: C2/m (12).

Entry from Alexandria: a relaxed structure of AcLaCoRu (GGA-PBE).

abc: 5.1138 5.1138 5.1138
angles: 60.00 60.00 60.00
Closest atoms and distances in Å follow each position.
Sites, in units of the cell vectors:
Ru 0.2500 0.2500 0.2500  4 La 3.13, 4 Ac 3.13
La 0.5000 0.5000 0.5000  4 Co 3.13, 4 Ru 3.13
Co 0.7500 0.7500 0.7500  4 Ac 3.13, 4 La 3.13
Ac 0.0000 0.0000 0.0000  4 Ru 3.13, 4 Co 3.13

Its formation energy is 0.083 eV/atom. As for the space-group type: F-43m (216).

Entry from Alexandria: a relaxed structure of KLaAu2 (GGA-PBE).

abc: 6.1909 6.1909 4.9773
angles: 90.00 90.00 37.97
Closest atoms and distances in Å follow each position.
Sites, in units of the cell vectors:
K 0.5170 0.5170 0.6250  7 Au 3.18-3.35
Au 0.9486 0.9486 0.1250  2 Au 3.11, 3 La 3.12-3.48, 4 K 3.30
Au 0.7888 0.7888 0.6250  2 Au 3.11, 3 K 3.18-3.35, 4 La 3.24
La 0.2456 0.2456 0.1249  7 Au 3.12-3.48

Its formation energy is -0.464 eV/atom. As for the space-group type: Amm2 (38).

Entry from Alexandria: a relaxed structure of AcPm2DyTl4 (GGA-PBE).

abc: 5.5515 5.5515 9.6822
angles: 73.34 73.34 60.00
Closest atoms and distances in Å follow each position.
Sites, in units of the cell vectors:
Ac 0.0000 0.0000 0.0000  8 Tl 3.45-3.52
Pm 0.7516 0.7516 0.7451  8 Tl 3.29-3.60
Pm 0.2484 0.2484 0.2549  8 Tl 3.29-3.60
Tl 0.6202 0.6202 0.1394  1 Dy 3.29, 4 Pm 3.37-3.60, 3 Ac 3.45
Tl 0.8716 0.8716 0.3851  4 Pm 3.29-3.42, 3 Dy 3.37, 1 Ac 3.52
Tl 0.3798 0.3798 0.8606  1 Dy 3.29, 4 Pm 3.37-3.60, 3 Ac 3.45
Tl 0.1284 0.1284 0.6149  4 Pm 3.29-3.42, 3 Dy 3.37, 1 Ac 3.52
Dy 0.5000 0.5000 0.5000  8 Tl 3.29-3.37

Its formation energy is -0.340 eV/atom. As for the space-group type: R-3m (166).

Entry from Alexandria: a relaxed structure of Zn2SbCl (GGA-PBE).

abc: 5.9332 5.9332 7.6032
angles: 67.03 67.03 90.00
Closest atoms and distances in Å follow each position.
Sites, in units of the cell vectors:
Zn 0.1098 0.6250 0.2500  2 Sb 2.58, 2 Cl 2.68
Zn 0.6402 0.1250 0.2500  2 Sb 2.58, 2 Cl 2.68
Zn 0.8750 0.8902 0.7500  2 Sb 2.58, 2 Cl 2.68
Zn 0.3750 0.3598 0.7500  2 Sb 2.58, 2 Cl 2.68
Sb 0.7500 0.2500 0.5000  4 Zn 2.58
Sb 0.0000 0.0000 0.0000  4 Zn 2.58
Cl 0.2500 0.7500 0.5000  4 Zn 2.68
Cl 0.5000 0.5000 0.0000  4 Zn 2.68

For the uncorrected formation energy, the calculation gives -34 kJ/mol of atoms. For the excess energy over the best structure of this formula in the dataset, the calculation gives 0 meV/atom. As for the space-group type: I-42d (122).

Entry from Alexandria: a relaxed structure of UTa2C (GGA-PBE).

abc: 3.0706 3.0706 8.6088
angles: 79.73 79.73 60.00
Closest atoms and distances in Å follow each position.
Sites, in units of the cell vectors:
C 0.5000 0.5000 0.5000  6 Ta 2.17
Ta 0.8831 0.8831 0.3506  3 C 2.17
Ta 0.1169 0.1169 0.6494  3 C 2.17
U 0.0000 0.0000 0.0000  2 Ta 2.95, 6 U 3.07

Its formation energy is 0.124 eV/atom. As for the space-group type: R-3m (166).

Entry from Alexandria: a relaxed structure of Ba2ScAs (GGA-PBE).

abc: 7.1140 7.1140 5.8713
angles: 65.66 65.66 33.12
Closest atoms and distances in Å follow each position.
Sites, in units of the cell vectors:
Ba 0.7632 0.7632 0.7369  4 As 3.62, 2 Ba 3.71, 2 Sc 3.75
Ba 0.9476 0.9476 0.0525  2 As 3.50, 2 Ba 3.71, 4 Sc 3.89
As 0.2154 0.2154 0.2845  2 Sc 2.67
Sc 0.5737 0.5737 0.4262  2 As 2.67

Its formation energy is -0.462 eV/atom. As for the space-group type: Imm2 (44).

Entry from Alexandria: a relaxed structure of PmMg2AlPt2 (GGA-PBE).

abc: 5.1911 5.1911 6.3913
angles: 113.96 113.96 90.00
Closest atoms and distances in Å follow each position.
Sites, in units of the cell vectors:
Mg 0.7500 0.2500 0.5000  4 Pt 2.61
Mg 0.2500 0.7500 0.5000  4 Pt 2.61
Pt 0.2248 0.2248 0.4496  1 Al 2.35, 4 Mg 2.61
Pt 0.7752 0.7752 0.5504  1 Al 2.35, 4 Mg 2.61
Al 0.0000 0.0000 0.0000  2 Pt 2.35
Pm 0.5000 0.5000 0.0000  2 Pt 2.88

Its formation energy is -0.512 eV/atom. As for the space-group type: I4/mmm (139).

E
In order: -5.435 -6.272 -3.609 -3.800 -2.477 -10.930 -4.169 -4.473
Unit: eV/atom